Record 1
Compound: PmPr3Dy
Source: the Alexandria database
Functional: PBE-GGA
Structure: optimized geometry

Cell: 8.205 8.205 6.275 Å, 90.00 90.00 120.21°
Atoms (fractional coordinates):
Pm: 0.200 0.800 0.750
Pm: 0.800 0.200 0.250
Pr: 0.000 0.000 0.000
Pr: 0.000 0.000 0.500
Pr: 0.198 0.403 0.750
Pr: 0.403 0.198 0.250
Pr: 0.597 0.802 0.750
Pr: 0.802 0.597 0.250
Dy: 0.330 0.670 0.250
Dy: 0.670 0.330 0.750

Computed properties:
Energy of formation from the pure elements in eV per atom: 0.32
D(E_F) in states/eV/atom: 0.80
Energy above the lowest structure with this stoichiometry in eV per atom: 0.009
Space-group type: No. 63
Total magnetic moment in μB/atom: 0.000


Record 2
Compound: MnFe2Se
Source: the Alexandria database
Functional: PBE-GGA
Structure: optimized geometry

Cell: 7.557 7.557 7.557 Å, 23.03 23.03 23.03°
Atoms (fractional coordinates):
Mn: 0.000 0.000 0.000
Fe: 0.498 0.498 0.498
Fe: 0.753 0.753 0.753
Se: 0.248 0.248 0.248

Computed properties:
D(E_F) in states/eV/atom: 0.68
Space-group type: No. 160
E_form (uncorrected) in meV per atom: 299
Total magnetic moment in μB/atom: 2.110


| no. | calculated total energy (eV per cell) |
| --- | --- |
| 1 | -44.18 |
| 2 | -28.38 |